(1)
The following is a PBE calculation of a relaxed NdSnPt crystal, from the Alexandria database.

Cell lengths 5.222, 5.222, 8.205 Å; angles 108.56, 108.56, 90.00 degrees
Fractional positions:
Pt: 0.752 0.752 0.505
Pt: 0.002 0.502 0.005
Sn: 0.197 0.697 0.393
Sn: 0.947 0.947 0.893
Nd: 0.551 0.551 0.102
Nd: 0.801 0.301 0.602

energy of formation from the pure elements	-491	meV/atom
E	-32.57	eV for the cell shown
crystal system	tetragonal


(2)
The following is a PBE calculation of a relaxed NdSnPt4 crystal, from the Alexandria database.

Cell lengths 5.460, 5.460, 5.460 Å; angles 60.00, 60.00, 60.00 degrees
Fractional positions:
Nd: 0.250 0.250 0.250
Sn: 0.000 0.000 0.000
Pt: 0.625 0.625 0.124
Pt: 0.625 0.124 0.625
Pt: 0.625 0.625 0.625
Pt: 0.124 0.625 0.625

polymorph energy (0 for the lowest one)	0	meV per atom
energy of formation from the pure elements	-750	meV/atom
E	-37.43	eV for the cell shown
crystal system	cubic


(3)
The following is a PBE calculation of a relaxed Sr2NdSn3Pt4 crystal, from the Alexandria database.

Cell lengths 4.721, 4.721, 11.204 Å; angles 90.00, 90.00, 90.00 degrees
Fractional positions:
Sr: 0.500 0.000 0.225
Sr: 0.000 0.500 0.775
Nd: 0.500 0.500 0.500
Sn: 0.000 0.000 0.500
Sn: 0.500 0.000 0.883
Sn: 0.000 0.500 0.117
Pt: 0.500 0.500 0.000
Pt: 0.000 0.000 0.000
Pt: 0.500 0.000 0.647
Pt: 0.000 0.500 0.353

energy of formation from the pure elements	-849	meV/atom
E	-52.79	eV for the cell shown
crystal system	tetragonal


(4)
The following is a PBE calculation of a relaxed Nd2TmSn3Pt4 crystal, from the Alexandria database.

Cell lengths 4.598, 4.598, 11.057 Å; angles 90.00, 90.00, 90.00 degrees
Fractional positions:
Nd: 0.500 0.000 0.221
Nd: 0.000 0.500 0.779
Tm: 0.500 0.500 0.500
Sn: 0.000 0.000 0.500
Sn: 0.500 0.000 0.874
Sn: 0.000 0.500 0.126
Pt: 0.500 0.500 0.000
Pt: 0.000 0.000 0.000
Pt: 0.500 0.000 0.639
Pt: 0.000 0.500 0.361

energy of formation from the pure elements	-920	meV/atom
E	-59.38	eV for the cell shown
crystal system	tetragonal


(5)
The following is a PBE calculation of a relaxed NdTmSnPt crystal, from the Alexandria database.

Cell lengths 5.204, 5.204, 5.204 Å; angles 60.00, 60.00, 60.00 degrees
Fractional positions:
Tm: 0.000 0.000 0.000
Nd: 0.500 0.500 0.500
Sn: 0.250 0.250 0.250
Pt: 0.750 0.750 0.750

energy of formation from the pure elements	-803	meV/atom
E	-22.49	eV for the cell shown
crystal system	cubic


(6)
The following is a PBE calculation of a relaxed NdYSnPt crystal, from the Alexandria database.

Cell lengths 5.239, 5.239, 5.239 Å; angles 60.00, 60.00, 60.00 degrees
Fractional positions:
Y: 0.750 0.750 0.750
Nd: 0.250 0.250 0.250
Sn: 0.500 0.500 0.500
Pt: 0.000 0.000 0.000

energy of formation from the pure elements	-812	meV/atom
E	-24.52	eV for the cell shown
crystal system	cubic